Material: BeTe2Ir
Method: DFT, PBE-GGA
State: relaxed

a b c (Å): 3.9007 3.9007 6.5462
angles (deg): 107.23 107.23 60.05
Last column: nearest neighbours and their distance in Å.
Sites, in units of the cell vectors:
Be: 0.0000 0.0000 0.0000  6 Te 2.74-2.75
Te: 0.2477 0.2477 0.7451  3 Ir 2.71, 3 Be 2.74-2.75
Te: 0.7523 0.7523 0.2549  3 Ir 2.71, 3 Be 2.74-2.75
Ir: 0.5000 0.5000 0.5000  6 Te 2.71

space-group type: C2/m (12)
ΔE_f (raw): 0.84 eV/f.u.

Material: TaCuMo2
Method: DFT, PBE-GGA
State: relaxed

a b c (Å): 2.6871 4.4779 5.2966
angles (deg): 90.00 99.50 90.00
Last column: nearest neighbours and their distance in Å.
Sites, in units of the cell vectors:
Ta: 0.0000 0.0000 0.0000  2 Ta 2.69, 2 Cu 2.75, 4 Mo 2.76-2.79
Cu: 0.7194 0.5000 0.2417  2 Cu 2.69, 2 Ta 2.75, 4 Mo 2.75-2.77
Mo: 0.2582 0.5000 0.7351  4 Mo 2.68-2.69, 2 Cu 2.76-2.77, 2 Ta 2.79
Mo: 0.4926 0.0000 0.5035  4 Mo 2.68-2.69, 2 Cu 2.75, 2 Ta 2.76-2.77

space-group type: Pm (6)
polymorph energy (0 for the lowest one): 7.0 kJ/mol of atoms
energy of formation from the pure elements: 55 kJ/mol of formula units

Material: ReRh2W
Method: DFT, PBE-GGA
State: relaxed

a b c (Å): 4.7369 4.7369 4.8454
angles (deg): 99.22 99.22 33.55
Last column: nearest neighbours and their distance in Å.
Sites, in units of the cell vectors:
Re: 0.0000 0.0000 0.0000  7 Rh 2.67-2.83, 2 Re 2.73, 3 W 2.81-2.85
Rh: 0.5027 0.5027 0.4890  3 W 2.70, 4 Re 2.73-2.83, 5 Rh 2.73-2.83
Rh: 0.7460 0.7460 0.2139  3 Re 2.67-2.68, 5 Rh 2.73-2.83, 4 W 2.78
W: 0.2500 0.2500 0.7145  7 Rh 2.70-2.78, 2 W 2.73, 3 Re 2.81-2.85

space-group type: Cm (8)
polymorph energy (0 for the lowest one): 10.5 kJ/mol of atoms
energy of formation from the pure elements: -35 kJ/mol of formula units

Material: SrYTe2
Method: DFT, PBE-GGA
State: relaxed

a b c (Å): 8.2082 8.2082 8.2082
angles (deg): 150.79 150.14 42.26
Last column: nearest neighbours and their distance in Å.
Sites, in units of the cell vectors:
Sr: 0.0000 0.0000 0.0000  6 Te 3.32-3.38
Y: 0.7504 0.2504 0.5000  6 Te 3.11-3.19
Te: 0.3281 0.8281 0.5000  4 Y 3.19, 2 Sr 3.38
Te: 0.5990 0.5990 0.0000  2 Y 3.11, 4 Sr 3.32

space-group type: Imm2 (44)
polymorph energy (0 for the lowest one): 12.7 kJ/mol of atoms
ΔE_f (raw): -5.50 eV/f.u.

Material: Mn3AuSe
Method: DFT, PBE-GGA
State: relaxed

a b c (Å): 4.2998 4.2998 4.2998
angles (deg): 90.00 90.00 90.00
Last column: nearest neighbours and their distance in Å.
Sites, in units of the cell vectors:
Mn: 0.0000 0.0000 0.5000  2 Se 2.15
Mn: 0.0000 0.5000 0.0000  2 Se 2.15
Mn: 0.5000 0.0000 0.0000  2 Se 2.15
Au: 0.5000 0.5000 0.5000  12 Mn 3.04
Se: 0.0000 0.0000 0.0000  6 Mn 2.15

space-group type: Pm-3m (221)
polymorph energy (0 for the lowest one): 22.4 kJ/mol of atoms
ΔE_f (raw): 4.96 eV/f.u.

Material: Li3Er2Zn4
Method: DFT, PBE-GGA
State: relaxed

a b c (Å): 8.0896 8.0896 7.9571
angles (deg): 90.00 90.00 140.00
Last column: nearest neighbours and their distance in Å.
Sites, in units of the cell vectors:
Li: 0.0000 0.0000 0.0000  6 Zn 2.56-2.76
Li: 0.0293 0.4707 0.2500  5 Zn 2.53-2.70, 2 Li 2.77
Li: 0.4707 0.0293 0.7500  5 Zn 2.53-2.70, 2 Li 2.77
Li: 0.5000 0.5000 0.5000  6 Zn 2.56-2.76
Li: 0.5293 0.9707 0.2500  5 Zn 2.53-2.70, 2 Li 2.77
Li: 0.9707 0.5293 0.7500  5 Zn 2.53-2.70, 2 Li 2.77
Er: 0.1112 0.8888 0.4113  8 Zn 3.00-3.30, 4 Li 3.18-3.32
Er: 0.3888 0.6112 0.9113  8 Zn 3.00-3.30, 4 Li 3.18-3.32
Er: 0.6112 0.3888 0.0887  8 Zn 3.00-3.30, 4 Li 3.18-3.32
Er: 0.8888 0.1112 0.5887  8 Zn 3.00-3.30, 4 Li 3.18-3.32
Zn: 0.1807 0.8193 0.0282  5 Li 2.68-2.76, 2 Er 3.00
Zn: 0.1959 0.3041 0.2500  3 Li 2.53-2.56, 2 Zn 2.77
Zn: 0.3041 0.1959 0.7500  3 Li 2.53-2.56, 2 Zn 2.77
Zn: 0.3193 0.6807 0.5282  5 Li 2.68-2.76, 2 Er 3.00
Zn: 0.6807 0.3193 0.4718  5 Li 2.68-2.76, 2 Er 3.00
Zn: 0.6959 0.8041 0.2500  3 Li 2.53-2.56, 2 Zn 2.77
Zn: 0.8041 0.6959 0.7500  3 Li 2.53-2.56, 2 Zn 2.77
Zn: 0.8193 0.1807 0.9718  5 Li 2.68-2.76, 2 Er 3.00

space-group type: Cmce (64)
energy of formation from the pure elements: -151 kJ/mol of formula units

Material: Ho3Si2Ni4
Method: DFT, PBE-GGA
State: relaxed

a b c (Å): 5.2944 5.2944 7.9624
angles (deg): 99.19 99.19 44.17
Last column: nearest neighbours and their distance in Å.
Sites, in units of the cell vectors:
Ho: 0.0000 0.0000 0.0000  8 Ni 2.83-3.15
Ho: 0.3785 0.3785 0.6182  6 Ni 2.75-2.91, 1 Si 3.00
Ho: 0.6215 0.6215 0.3818  6 Ni 2.75-2.91, 1 Si 3.00
Si: 0.3238 0.3238 0.2123  5 Ni 2.33-2.40
Si: 0.6762 0.6762 0.7877  5 Ni 2.33-2.40
Ni: 0.0881 0.0881 0.6381  2 Si 2.40, 2 Ni 2.55-2.56
Ni: 0.2678 0.2678 0.9122  3 Si 2.33-2.36, 3 Ni 2.49-2.56
Ni: 0.7322 0.7322 0.0878  3 Si 2.33-2.36, 3 Ni 2.49-2.56
Ni: 0.9119 0.9119 0.3619  2 Si 2.40, 2 Ni 2.55-2.56

space-group type: C2/m (12)
ΔE_f (raw): -6.17 eV/f.u.

Material: CeInPb
Method: DFT, PBE-GGA
State: relaxed

a b c (Å): 5.7840 5.7840 13.0858
angles (deg): 90.00 90.00 120.00
Last column: nearest neighbours and their distance in Å.
Sites, in units of the cell vectors:
Ce: 0.0000 0.0000 0.0000  2 In 3.27, 6 Pb 3.34
Ce: 0.0000 0.0000 0.5000  2 In 3.27, 6 Pb 3.34
Ce: 0.3333 0.6667 0.2500  6 In 3.34, 2 Pb 3.40
Ce: 0.6667 0.3333 0.7500  6 In 3.34, 2 Pb 3.40
In: 0.0000 0.0000 0.2500  5 Ce 3.27-3.34, 3 In 3.34
In: 0.0000 0.0000 0.7500  5 Ce 3.27-3.34, 3 In 3.34
In: 0.3333 0.6667 0.7500  2 Pb 3.15, 3 In 3.34, 3 Ce 3.34
In: 0.6667 0.3333 0.2500  2 Pb 3.15, 3 In 3.34, 3 Ce 3.34
Pb: 0.3333 0.6667 0.5095  1 In 3.15, 4 Ce 3.34-3.40, 3 Pb 3.35
Pb: 0.3333 0.6667 0.9905  1 In 3.15, 4 Ce 3.34-3.40, 3 Pb 3.35
Pb: 0.6667 0.3333 0.0095  1 In 3.15, 4 Ce 3.34-3.40, 3 Pb 3.35
Pb: 0.6667 0.3333 0.4905  1 In 3.15, 4 Ce 3.34-3.40, 3 Pb 3.35

space-group type: P6_3/mmc (194)
polymorph energy (0 for the lowest one): 25.3 kJ/mol of atoms
energy of formation from the pure elements: -7 kJ/mol of formula units

Material: CuNiAs2Se
Method: DFT, PBE-GGA
State: relaxed

a b c (Å): 4.6214 4.6214 4.7876
angles (deg): 90.00 90.00 90.00
Last column: nearest neighbours and their distance in Å.
Sites, in units of the cell vectors:
Cu: 0.0000 0.0000 0.0000  4 As 2.31, 2 Se 2.39
Ni: 0.5000 0.5000 0.5000  4 Se 3.27, 8 As 3.33
As: 0.0000 0.5000 0.0000  2 Cu 2.31
As: 0.5000 0.0000 0.0000  2 Cu 2.31
Se: 0.0000 0.0000 0.5000  2 Cu 2.39

space-group type: P4/mmm (123)
polymorph energy (0 for the lowest one): 30.0 kJ/mol of atoms
ΔE_f (raw): 4.41 eV/f.u.

Material: Tb3ErNi
Method: DFT, PBE-GGA
State: relaxed

a b c (Å): 6.3149 5.1871 8.2955
angles (deg): 90.00 94.60 90.00
Last column: nearest neighbours and their distance in Å.
Sites, in units of the cell vectors:
Tb: 0.1153 0.2500 0.2708  1 Ni 2.74
Tb: 0.2947 0.7500 0.0546  1 Ni 2.56
Tb: 0.3174 0.7500 0.4800  1 Ni 2.61
Tb: 0.6826 0.2500 0.5200  1 Ni 2.61
Tb: 0.7053 0.2500 0.9454  1 Ni 2.56
Tb: 0.8847 0.7500 0.7292  1 Ni 2.74
Er: 0.2201 0.2500 0.7545  2 Ni 3.01, 3 Tb 3.33-3.34
Er: 0.7799 0.7500 0.2455  2 Ni 3.01, 3 Tb 3.33-3.34
Ni: 0.4619 0.7500 0.7835  3 Tb 2.56-2.74
Ni: 0.5381 0.2500 0.2165  3 Tb 2.56-2.74

space-group type: P2_1/m (11)
polymorph energy (0 for the lowest one): 6.4 kJ/mol of atoms
energy of formation from the pure elements: -51 kJ/mol of formula units

Material: NbCdO2
Method: DFT, PBE-GGA
State: relaxed

a b c (Å): 6.3140 6.3140 6.3140
angles (deg): 120.11 120.11 89.81
Last column: nearest neighbours and their distance in Å.
Sites, in units of the cell vectors:
Nb: 0.3750 0.6250 0.7500  4 O 1.93
Nb: 0.6250 0.3750 0.2500  4 O 1.93
Cd: 0.1250 0.8750 0.2500  12 O 3.70-3.71, 4 Nb 3.86, 4 Cd 3.86
Cd: 0.8750 0.1250 0.7500  12 O 3.70-3.71, 4 Cd 3.86, 4 Nb 3.86
O: 0.0000 0.5000 0.5000  2 Nb 1.93
O: 0.5000 0.0000 0.0000  2 Nb 1.93
O: 0.5000 0.5000 0.0000  2 Nb 1.93
O: 0.5000 0.5000 0.5000  2 Nb 1.93

space-group type: I4_1/amd (141)
polymorph energy (0 for the lowest one): 13.0 kJ/mol of atoms
ΔE_f (raw): -6.00 eV/f.u.

Material: CuNiAg2
Method: DFT, PBE-GGA
State: relaxed

a b c (Å): 2.7597 4.2069 5.2673
angles (deg): 90.00 104.77 90.00
Last column: nearest neighbours and their distance in Å.
Sites, in units of the cell vectors:
Cu: 0.0000 0.0000 0.0000  2 Ni 2.46, 5 Ag 2.72-2.75
Ni: 0.1139 0.5000 0.2491  2 Cu 2.46, 4 Ag 2.71-2.75
Ag: 0.3890 0.5000 0.7811  3 Ni 2.71-2.76, 4 Cu 2.75-2.76, 6 Ag 2.76-3.00
Ag: 0.7252 0.0000 0.4658  3 Cu 2.72-2.75, 4 Ni 2.74-2.76, 6 Ag 2.76-3.00

space-group type: Pm (6)
polymorph energy (0 for the lowest one): 6.9 kJ/mol of atoms
energy of formation from the pure elements: 78 kJ/mol of formula units

Calculated calculated density in order - 9346; 11528; 16141; 5348; 9206; 6121; 8518; 8096; 5701; 8616; 4435; 9491 kg/m³